[1]
Rb2Te | PBE | relaxed

- Formation energy from raw total energies: -2.8 eV/f.u.
- Magnetic moment: 0.1 μB per formula unit

abc: 10.1757 5.9668 10.5928
angles: 90.00 107.46 90.00
Space group C2/m (No. 12)
Symmetry-distinct sites (fractional):
Rb1 0.1231 0.0000 0.3678 [4 per cell]
Rb2 0.2056 0.5000 0.1292 [4 per cell]
Te1 0.0000 0.0000 0.0000 [2 per cell]
Te2 0.0000 0.5000 0.5000 [2 per cell]

[2]
La2In5Cu3 | PBE | relaxed

- Density of states at the Fermi level: 18.4 states/eV per cell
- Raw total energy: -3.914 eV/atom
- Magnetic moment: 0.0 μB per formula unit

abc: 11.2513 12.7974 6.4440
angles: 90.00 90.00 90.00
Space group Ibam (No. 72)
Symmetry-distinct sites (fractional):
La1 0.2445 0.1343 0.0000 [8 per cell]
In1 0.0000 0.0000 0.2500 [4 per cell]
In2 0.0000 0.2533 0.2500 [8 per cell]
In3 0.1478 0.3969 0.0000 [8 per cell]
Cu1 0.0000 0.5000 0.2500 [4 per cell]
Cu2 0.1259 0.1280 0.5000 [8 per cell]

[3]
BaNbGaI2 | PBE | relaxed

- Density of states at the Fermi level: 4.6 states/eV per cell
- Formation energy from raw total energies: -1.1 eV/f.u.
- Magnetic moment: 1.4 μB per formula unit

abc: 5.6987 5.6987 5.1726
angles: 90.00 90.00 90.00
Space group P4/mmm (No. 123)
Symmetry-distinct sites (fractional):
Ba1 0.0000 0.0000 0.0000 [1 per cell]
Nb1 0.5000 0.5000 0.5000 [1 per cell]
Ga1 0.5000 0.5000 0.0000 [1 per cell]
I1 0.0000 0.5000 0.5000 [2 per cell]

[4]
TlRh2Br | PBE | relaxed

- Density of states at the Fermi level: 5.6 states/eV per cell
- Formation energy from raw total energies: 1.5 eV/f.u.
- Magnetic moment: 0.0 μB per formula unit

abc: 10.4581 3.2844 4.4695
angles: 90.00 94.66 90.00
Space group Cm (No. 8)
Symmetry-distinct sites (fractional):
Tl1 0.0000 0.0000 0.0000 [2 per cell]
Rh1 0.0303 0.5000 0.5150 [2 per cell]
Rh2 0.2755 0.0000 0.7914 [2 per cell]
Br1 0.2515 0.5000 0.3625 [2 per cell]

Please write out number 3 again, unchanged.
BaNbGaI2 | PBE | relaxed

- Density of states at the Fermi level: 4.6 states/eV per cell
- Formation energy from raw total energies: -1.1 eV/f.u.
- Magnetic moment: 1.4 μB per formula unit

abc: 5.6987 5.6987 5.1726
angles: 90.00 90.00 90.00
Space group P4/mmm (No. 123)
Symmetry-distinct sites (fractional):
Ba1 0.0000 0.0000 0.0000 [1 per cell]
Nb1 0.5000 0.5000 0.5000 [1 per cell]
Ga1 0.5000 0.5000 0.0000 [1 per cell]
I1 0.0000 0.5000 0.5000 [2 per cell]